No. 1
VASP calculation (PBEsol) on crystalline Nd3Ho at its relaxed geometry.

a b c (Å): 7.1818 7.1818 5.7717
angles (deg): 90.00 90.00 120.00
Last column: nearest neighbours and their distance in Å.
Fractional positions:
Nd 0.1671 0.3342 0.2500  4 Ho 3.55-3.59, 8 Nd 3.56-3.60
Nd 0.1671 0.8329 0.2500  4 Ho 3.55-3.59, 8 Nd 3.56-3.60
Nd 0.3342 0.1671 0.7500  4 Ho 3.55-3.59, 8 Nd 3.56-3.60
Nd 0.6658 0.8329 0.2500  4 Ho 3.55-3.59, 8 Nd 3.56-3.60
Nd 0.8329 0.1671 0.7500  4 Ho 3.55-3.59, 8 Nd 3.56-3.60
Nd 0.8329 0.6658 0.7500  4 Ho 3.55-3.59, 8 Nd 3.56-3.60
Ho 0.3333 0.6667 0.7500  12 Nd 3.55-3.59
Ho 0.6667 0.3333 0.2500  12 Nd 3.55-3.59

Properties
ΔE_f, eV per formula unit: 0.11
Polymorph energy (0 for the lowest one), eV per atom: 0.0202

***

No. 2
VASP calculation (PBEsol) on crystalline NdHoZr2O7 at its relaxed geometry.

a b c (Å): 7.4411 7.4411 7.4411
angles (deg): 120.05 120.02 89.94
Last column: nearest neighbours and their distance in Å.
Fractional positions:
Nd 0.5000 0.0000 0.0000  8 O 2.34-2.53
Nd 0.5000 0.5000 0.5000  8 O 2.34-2.53
Ho 0.0000 0.0000 0.0000  2 O 2.22
Ho 0.5000 0.0000 0.5000  2 O 2.22
Zr 0.0000 0.0000 0.5000  6 O 2.08
Zr 0.0000 0.5000 0.0000  6 O 2.08
Zr 0.0000 0.5000 0.5000  6 O 2.08
Zr 0.5000 0.5000 0.0000  6 O 2.08
O 0.0857 0.4077 0.2466  2 Zr 2.08
O 0.0857 0.8391 0.6781  2 Zr 2.08
O 0.0881 0.8381 0.2500  2 Zr 2.08
O 0.3390 0.1609 0.7466  2 Zr 2.08
O 0.3387 0.5887 0.7500  2 Zr 2.08
O 0.3390 0.5923 0.1781  2 Zr 2.08
O 0.3654 0.1154 0.2500  2 Ho 2.22, 2 Nd 2.34
O 0.6346 0.8846 0.7500  2 Ho 2.22, 2 Nd 2.34
O 0.6610 0.4077 0.8219  2 Zr 2.08
O 0.6613 0.4113 0.2500  2 Zr 2.08
O 0.6610 0.8391 0.2534  2 Zr 2.08
O 0.9119 0.1619 0.7500  2 Zr 2.08
O 0.9143 0.1609 0.3219  2 Zr 2.08
O 0.9143 0.5923 0.7534  2 Zr 2.08

Properties
ΔE_f (raw), eV/atom: -3.50

***

No. 3
VASP calculation (PBEsol) on crystalline HoNi5 at its relaxed geometry.

a b c (Å): 4.7788 4.7788 3.9004
angles (deg): 90.00 90.00 120.00
Last column: nearest neighbours and their distance in Å.
Fractional positions:
Ho 0.0000 0.0000 0.0000  18 Ni 2.76-3.08
Ni 0.0000 0.5000 0.5000  8 Ni 2.39
Ni 0.3333 0.6667 0.0000  6 Ni 2.39
Ni 0.5000 0.0000 0.5000  8 Ni 2.39
Ni 0.5000 0.5000 0.5000  8 Ni 2.39
Ni 0.6667 0.3333 0.0000  6 Ni 2.39

Properties
ΔE_f, eV per formula unit: -2.02

***

No. 4
VASP calculation (PBEsol) on crystalline Ho3Ni2 at its relaxed geometry.

a b c (Å): 7.0476 7.0476 7.0476
angles (deg): 72.82 72.82 72.82
Last column: nearest neighbours and their distance in Å.
Fractional positions:
Ho 0.0000 0.0000 0.0000  6 Ni 2.85, 2 Ho 3.18
Ho 0.1713 0.3868 0.6635  4 Ni 2.77-2.93
Ho 0.2069 0.2069 0.2069  6 Ni 2.72-2.87
Ho 0.3365 0.8287 0.6132  4 Ni 2.77-2.93
Ho 0.3868 0.6635 0.1713  4 Ni 2.77-2.93
Ho 0.6132 0.3365 0.8287  4 Ni 2.77-2.93
Ho 0.6635 0.1713 0.3868  4 Ni 2.77-2.93
Ho 0.7931 0.7931 0.7931  6 Ni 2.72-2.87
Ho 0.8287 0.6132 0.3365  4 Ni 2.77-2.93
Ni 0.0393 0.8555 0.4130  1 Ni 2.52, 4 Ho 2.72-2.81
Ni 0.1445 0.5870 0.9607  1 Ni 2.52, 4 Ho 2.72-2.81
Ni 0.4130 0.0393 0.8555  1 Ni 2.52, 4 Ho 2.72-2.81
Ni 0.5870 0.9607 0.1445  1 Ni 2.52, 4 Ho 2.72-2.81
Ni 0.8555 0.4130 0.0393  1 Ni 2.52, 4 Ho 2.72-2.81
Ni 0.9607 0.1445 0.5870  1 Ni 2.52, 4 Ho 2.72-2.81

Properties
ΔE_f, eV per formula unit: -1.80
Polymorph energy (0 for the lowest one), eV per atom: 0.0163

***

No. 5
VASP calculation (PBEsol) on crystalline Ho3Ni2 at its relaxed geometry.

a b c (Å): 6.7596 6.7596 9.3045
angles (deg): 104.84 104.84 30.62
Last column: nearest neighbours and their distance in Å.
Fractional positions:
Ho 0.0970 0.0970 0.1730  3 Ni 2.71
Ho 0.3557 0.3557 0.1320  4 Ni 2.74-2.82
Ho 0.3682 0.3682 0.5023  7 Ni 2.75-2.97
Ho 0.6318 0.6318 0.4977  7 Ni 2.75-2.97
Ho 0.6443 0.6443 0.8680  4 Ni 2.74-2.82
Ho 0.9030 0.9030 0.8270  3 Ni 2.71
Ni 0.0346 0.0346 0.6449  2 Ni 2.61-2.63, 7 Ho 2.71-2.85
Ni 0.2438 0.2438 0.7272  1 Ni 2.63, 6 Ho 2.71-2.87
Ni 0.7562 0.7562 0.2728  1 Ni 2.63, 6 Ho 2.71-2.87
Ni 0.9654 0.9654 0.3551  2 Ni 2.61-2.63, 7 Ho 2.71-2.85

Properties
ΔE_f, eV per formula unit: -1.88
Polymorph energy (0 for the lowest one), eV per atom: 0.0000

***

No. 6
VASP calculation (PBEsol) on crystalline HoNiO3 at its relaxed geometry.

a b c (Å): 5.5026 7.2608 5.0914
angles (deg): 90.00 90.00 90.00
Last column: nearest neighbours and their distance in Å.
Fractional positions:
Ho 0.0791 0.2500 0.0226  6 O 2.22-2.40
Ho 0.4209 0.7500 0.5226  6 O 2.22-2.40
Ho 0.5791 0.2500 0.4774  6 O 2.22-2.40
Ho 0.9209 0.7500 0.9774  6 O 2.22-2.40
Ni 0.0000 0.0000 0.5000  6 O 1.90-1.97
Ni 0.0000 0.5000 0.5000  6 O 1.90-1.97
Ni 0.5000 0.0000 0.0000  6 O 1.90-1.97
Ni 0.5000 0.5000 0.0000  6 O 1.90-1.97
O 0.0286 0.7500 0.3977  2 Ni 1.90
O 0.1966 0.5497 0.8083  2 Ni 1.94-1.97
O 0.1966 0.9503 0.8083  2 Ni 1.94-1.97
O 0.3034 0.0497 0.3083  2 Ni 1.94-1.97
O 0.3034 0.4503 0.3083  2 Ni 1.94-1.97
O 0.4714 0.2500 0.8977  2 Ni 1.90
O 0.5286 0.7500 0.1023  2 Ni 1.90
O 0.6966 0.5497 0.6917  2 Ni 1.94-1.97
O 0.6966 0.9503 0.6917  2 Ni 1.94-1.97
O 0.8034 0.0497 0.1917  2 Ni 1.94-1.97
O 0.8034 0.4503 0.1917  2 Ni 1.94-1.97
O 0.9714 0.2500 0.6023  2 Ni 1.90

Properties
ΔE_f (raw), eV/atom: -2.28

***

No. 7
VASP calculation (PBEsol) on crystalline Ho5Ni19P12 at its relaxed geometry.

a b c (Å): 11.9087 11.9087 3.6818
angles (deg): 90.00 90.00 120.00
Last column: nearest neighbours and their distance in Å.
Fractional positions:
Ho 0.0000 0.8121 0.0000  6 P 2.82-2.85, 10 Ni 2.90-3.08
Ho 0.1879 0.1879 0.0000  6 P 2.82-2.85, 10 Ni 2.90-3.08
Ho 0.3333 0.6667 0.5000  6 P 2.81, 9 Ni 2.96-2.98
Ho 0.6667 0.3333 0.5000  6 P 2.81, 9 Ni 2.96-2.98
Ho 0.8121 0.0000 0.0000  6 P 2.82-2.85, 10 Ni 2.90-3.08
Ni 0.0000 0.0000 0.5000  3 P 2.12
Ni 0.0000 0.2840 0.0000  4 P 2.17-2.23
Ni 0.0000 0.4462 0.5000  1 P 2.22
Ni 0.1249 0.6400 0.0000  4 P 2.20-2.34
Ni 0.1826 0.3800 0.5000  4 P 2.25-2.30
Ni 0.1974 0.8174 0.5000  4 P 2.25-2.30
Ni 0.2840 0.0000 0.0000  4 P 2.17-2.23
Ni 0.3600 0.4848 0.0000  4 P 2.20-2.34
Ni 0.3800 0.1826 0.5000  4 P 2.25-2.30
Ni 0.4462 0.0000 0.5000  1 P 2.22
Ni 0.4848 0.3600 0.0000  4 P 2.20-2.34
Ni 0.5152 0.8751 0.0000  4 P 2.20-2.34
Ni 0.5538 0.5538 0.5000  1 P 2.22
Ni 0.6200 0.8026 0.5000  4 P 2.25-2.30
Ni 0.6400 0.1249 0.0000  4 P 2.20-2.34
Ni 0.7160 0.7160 0.0000  4 P 2.17-2.23
Ni 0.8026 0.6200 0.5000  4 P 2.25-2.30
Ni 0.8174 0.1974 0.5000  4 P 2.25-2.30
Ni 0.8751 0.5152 0.0000  4 P 2.20-2.34
P 0.0000 0.1780 0.5000  5 Ni 2.12-2.30
P 0.0000 0.6324 0.5000  7 Ni 2.22-2.34
P 0.1661 0.4793 0.0000  5 Ni 2.17-2.28
P 0.1780 0.0000 0.5000  5 Ni 2.12-2.30
P 0.3132 0.8339 0.0000  5 Ni 2.17-2.28
P 0.3676 0.3676 0.5000  7 Ni 2.22-2.34
P 0.4793 0.1661 0.0000  5 Ni 2.17-2.28
P 0.5207 0.6868 0.0000  5 Ni 2.17-2.28
P 0.6324 0.0000 0.5000  7 Ni 2.22-2.34
P 0.6868 0.5207 0.0000  5 Ni 2.17-2.28
P 0.8220 0.8220 0.5000  5 Ni 2.12-2.30
P 0.8339 0.3132 0.0000  5 Ni 2.17-2.28

Properties
ΔE_f, eV per formula unit: -34.49

***

No. 8
VASP calculation (PBEsol) on crystalline HoNi4P2 at its relaxed geometry.

a b c (Å): 6.9752 6.9752 3.5625
angles (deg): 90.00 90.00 90.00
Last column: nearest neighbours and their distance in Å.
Fractional positions:
Ho 0.0000 0.0000 0.0000  6 P 2.76-2.81, 8 Ni 3.01
Ho 0.5000 0.5000 0.5000  6 P 2.76-2.81, 8 Ni 3.01
Ni 0.0848 0.3370 0.5000  3 P 2.28, 5 Ni 2.49-2.54
Ni 0.1630 0.5848 0.0000  3 P 2.28, 5 Ni 2.49-2.54
Ni 0.3370 0.0848 0.5000  3 P 2.28, 5 Ni 2.49-2.54
Ni 0.4152 0.8370 0.0000  3 P 2.28, 5 Ni 2.49-2.54
Ni 0.5848 0.1630 0.0000  3 P 2.28, 5 Ni 2.49-2.54
Ni 0.6630 0.9152 0.5000  3 P 2.28, 5 Ni 2.49-2.54
Ni 0.8370 0.4152 0.0000  3 P 2.28, 5 Ni 2.49-2.54
Ni 0.9152 0.6630 0.5000  3 P 2.28, 5 Ni 2.49-2.54
P 0.2203 0.7797 0.5000  6 Ni 2.28
P 0.2797 0.2797 0.0000  6 Ni 2.28
P 0.7203 0.7203 0.0000  6 Ni 2.28
P 0.7797 0.2203 0.5000  6 Ni 2.28

Properties
ΔE_f, eV per formula unit: -6.37

***

No. 9
VASP calculation (PBEsol) on crystalline Ho5NiPb3 at its relaxed geometry.

a b c (Å): 8.9948 8.9948 6.5392
angles (deg): 90.00 90.00 120.00
Last column: nearest neighbours and their distance in Å.
Fractional positions:
Ho 0.0000 0.2391 0.2500  2 Ni 2.70
Ho 0.0000 0.7609 0.7500  2 Ni 2.70
Ho 0.2391 0.0000 0.2500  2 Ni 2.70
Ho 0.2391 0.2391 0.7500  2 Ni 2.70
Ho 0.3333 0.6667 0.0000  6 Pb 3.20, 2 Ho 3.27
Ho 0.3333 0.6667 0.5000  6 Pb 3.20, 2 Ho 3.27
Ho 0.6667 0.3333 0.0000  6 Pb 3.20, 2 Ho 3.27
Ho 0.6667 0.3333 0.5000  6 Pb 3.20, 2 Ho 3.27
Ho 0.7609 0.0000 0.7500  2 Ni 2.70
Ho 0.7609 0.7609 0.2500  2 Ni 2.70
Ni 0.0000 0.0000 0.0000  6 Ho 2.70
Ni 0.0000 0.0000 0.5000  6 Ho 2.70
Pb 0.0000 0.3992 0.7500  7 Ho 3.13-3.25
Pb 0.0000 0.6008 0.2500  7 Ho 3.13-3.25
Pb 0.3992 0.0000 0.7500  7 Ho 3.13-3.25
Pb 0.3992 0.3992 0.2500  7 Ho 3.13-3.25
Pb 0.6008 0.0000 0.2500  7 Ho 3.13-3.25
Pb 0.6008 0.6008 0.7500  7 Ho 3.13-3.25

Properties
ΔE_f, eV per formula unit: -5.02

***

No. 10
VASP calculation (PBEsol) on crystalline HoNiPb at its relaxed geometry.

a b c (Å): 7.0394 4.4753 7.6807
angles (deg): 90.00 90.00 90.00
Last column: nearest neighbours and their distance in Å.
Fractional positions:
Ho 0.0123 0.2500 0.2001  5 Ni 2.92-3.20, 6 Pb 3.11-3.21
Ho 0.4877 0.7500 0.7001  5 Ni 2.92-3.20, 6 Pb 3.11-3.21
Ho 0.5123 0.2500 0.2999  5 Ni 2.92-3.20, 6 Pb 3.11-3.21
Ho 0.9877 0.7500 0.7999  5 Ni 2.92-3.20, 6 Pb 3.11-3.21
Ni 0.2123 0.7500 0.4160  4 Pb 2.60-2.81
Ni 0.2877 0.2500 0.9160  4 Pb 2.60-2.81
Ni 0.7123 0.7500 0.0840  4 Pb 2.60-2.81
Ni 0.7877 0.2500 0.5840  4 Pb 2.60-2.81
Pb 0.1873 0.2500 0.5867  4 Ni 2.60-2.81
Pb 0.3127 0.7500 0.0867  4 Ni 2.60-2.81
Pb 0.6873 0.2500 0.9133  4 Ni 2.60-2.81
Pb 0.8127 0.7500 0.4133  4 Ni 2.60-2.81

Properties
ΔE_f, eV per formula unit: -1.38

***

No. 11
VASP calculation (PBEsol) on crystalline Ho2Ni2Pb at its relaxed geometry.

a b c (Å): 7.2671 7.2671 3.6004
angles (deg): 90.00 90.00 148.76
Last column: nearest neighbours and their distance in Å.
Fractional positions:
Ho 0.1406 0.8594 0.0000  6 Ni 2.79-2.86
Ho 0.8594 0.1406 0.0000  6 Ni 2.79-2.86
Ni 0.2997 0.7003 0.5000  2 Ni 2.40
Ni 0.7003 0.2997 0.5000  2 Ni 2.40
Pb 0.5000 0.5000 0.5000  2 Ni 2.80

Properties
ΔE_f, eV per formula unit: -2.71

***

No. 12
VASP calculation (PBEsol) on crystalline HoNiSb2 at its relaxed geometry.

a b c (Å): 4.2968 4.2968 9.1499
angles (deg): 90.00 90.00 90.00
Last column: nearest neighbours and their distance in Å.
Fractional positions:
Ho 0.2500 0.2500 0.2365  4 Ni 3.05, 8 Sb 3.15-3.23
Ho 0.7500 0.7500 0.7635  4 Ni 3.05, 8 Sb 3.15-3.23
Ni 0.2500 0.7500 0.0000  4 Sb 2.53
Ni 0.7500 0.2500 0.0000  4 Sb 2.53
Sb 0.2500 0.2500 0.8549  4 Ni 2.53
Sb 0.2500 0.7500 0.5000  4 Sb 3.04, 4 Ho 3.23
Sb 0.7500 0.2500 0.5000  4 Sb 3.04, 4 Ho 3.23
Sb 0.7500 0.7500 0.1451  4 Ni 2.53

Properties
ΔE_f (raw), eV/atom: -0.72

***

No. 13
VASP calculation (PBEsol) on crystalline Ho5NiSb2 at its relaxed geometry.

a b c (Å): 11.8899 8.6923 7.7056
angles (deg): 90.00 90.00 90.00
Last column: nearest neighbours and their distance in Å.
Fractional positions:
Ho 0.9995 0.2500 0.0449  1 Ni 2.92, 4 Sb 3.06-3.07
Ho 0.0005 0.7500 0.9551  1 Ni 2.92, 4 Sb 3.06-3.07
Ho 0.0654 0.0415 0.6804  2 Ni 2.73-2.85
Ho 0.0654 0.4585 0.6804  2 Ni 2.73-2.85
Ho 0.1970 0.7500 0.3749  1 Ni 2.69
Ho 0.2070 0.2500 0.3429  1 Ni 2.69
Ho 0.2930 0.7500 0.8429  1 Ni 2.69
Ho 0.3030 0.2500 0.8749  1 Ni 2.69
Ho 0.4346 0.5415 0.1804  2 Ni 2.73-2.85
Ho 0.4346 0.9585 0.1804  2 Ni 2.73-2.85
Ho 0.4995 0.2500 0.4551  1 Ni 2.92, 4 Sb 3.06-3.07
Ho 0.5005 0.7500 0.5449  1 Ni 2.92, 4 Sb 3.06-3.07
Ho 0.5654 0.0415 0.8196  2 Ni 2.73-2.85
Ho 0.5654 0.4585 0.8196  2 Ni 2.73-2.85
Ho 0.6970 0.7500 0.1251  1 Ni 2.69
Ho 0.7070 0.2500 0.1571  1 Ni 2.69
Ho 0.7930 0.7500 0.6571  1 Ni 2.69
Ho 0.8030 0.2500 0.6251  1 Ni 2.69
Ho 0.9346 0.5415 0.3196  2 Ni 2.73-2.85
Ho 0.9346 0.9585 0.3196  2 Ni 2.73-2.85
Ni 0.0130 0.7500 0.5773  7 Ho 2.69-2.92
Ni 0.4870 0.2500 0.0773  7 Ho 2.69-2.92
Ni 0.5130 0.7500 0.9227  7 Ho 2.69-2.92
Ni 0.9870 0.2500 0.4227  7 Ho 2.69-2.92
Sb 0.1731 0.5086 0.0716  8 Ho 3.06-3.30
Sb 0.1731 0.9914 0.0716  8 Ho 3.06-3.30
Sb 0.3269 0.0086 0.5716  8 Ho 3.06-3.30
Sb 0.3269 0.4914 0.5716  8 Ho 3.06-3.30
Sb 0.6731 0.5086 0.4284  8 Ho 3.06-3.30
Sb 0.6731 0.9914 0.4284  8 Ho 3.06-3.30
Sb 0.8269 0.0086 0.9284  8 Ho 3.06-3.30
Sb 0.8269 0.4914 0.9284  8 Ho 3.06-3.30

Properties
ΔE_f (raw), eV/atom: -0.76

***

No. 14
VASP calculation (PBEsol) on crystalline HoSi2Ni2 at its relaxed geometry.

a b c (Å): 5.4548 5.4548 5.4548
angles (deg): 137.98 137.98 60.94
Last column: nearest neighbours and their distance in Å.
Fractional positions:
Ho 0.0000 0.0000 0.0000  8 Si 3.01, 8 Ni 3.06
Si 0.3733 0.3733 0.0000  4 Ni 2.27, 1 Si 2.38
Si 0.6267 0.6267 0.0000  4 Ni 2.27, 1 Si 2.38
Ni 0.2500 0.7500 0.5000  4 Si 2.27
Ni 0.7500 0.2500 0.5000  4 Si 2.27

Properties
ΔE_f (raw), eV/atom: -0.92

***

No. 15
VASP calculation (PBEsol) on crystalline Ho2Ni2Sn at its relaxed geometry.

a b c (Å): 7.2026 7.2026 3.6015
angles (deg): 90.00 90.00 90.00
Last column: nearest neighbours and their distance in Å.
Fractional positions:
Ho 0.1746 0.3254 0.0000  6 Ni 2.75-2.81
Ho 0.3254 0.8254 0.0000  6 Ni 2.75-2.81
Ho 0.6746 0.1746 0.0000  6 Ni 2.75-2.81
Ho 0.8254 0.6746 0.0000  6 Ni 2.75-2.81
Ni 0.1207 0.6207 0.5000  1 Ni 2.46
Ni 0.3793 0.1207 0.5000  1 Ni 2.46
Ni 0.6207 0.8793 0.5000  1 Ni 2.46
Ni 0.8793 0.3793 0.5000  1 Ni 2.46
Sn 0.0000 0.0000 0.5000  4 Ni 2.87
Sn 0.5000 0.5000 0.5000  4 Ni 2.87

Properties
ΔE_f, eV per formula unit: -3.16

***

No. 16
VASP calculation (PBEsol) on crystalline HoNiSn4 at its relaxed geometry.

a b c (Å): 14.1989 14.1989 4.4084
angles (deg): 90.00 90.00 162.43
Last column: nearest neighbours and their distance in Å.
Fractional positions:
Ho 0.1935 0.8065 0.0000  10 Sn 3.15-3.40
Ho 0.8065 0.1935 0.0000  10 Sn 3.15-3.40
Ni 0.4478 0.5522 0.5000  8 Sn 2.62-2.73, 1 Ni 2.93
Ni 0.5522 0.4478 0.5000  8 Sn 2.62-2.73, 1 Ni 2.93
Sn 0.0000 0.0000 0.5000  4 Ni 2.62
Sn 0.1099 0.8901 0.5000  2 Ni 2.71
Sn 0.2858 0.7142 0.5000  2 Sn 2.96, 4 Ho 3.15
Sn 0.3907 0.6093 0.0000  2 Ni 2.73
Sn 0.5000 0.5000 0.0000  4 Ni 2.65
Sn 0.6093 0.3907 0.0000  2 Ni 2.73
Sn 0.7142 0.2858 0.5000  2 Sn 2.96, 4 Ho 3.15
Sn 0.8901 0.1099 0.5000  2 Ni 2.71

Properties
ΔE_f, eV per formula unit: -2.38

***

No. 17
VASP calculation (PBEsol) on crystalline Ho6Ni2Sn at its relaxed geometry.

a b c (Å): 8.2384 8.2384 8.2384
angles (deg): 113.17 109.67 105.67
Last column: nearest neighbours and their distance in Å.
Fractional positions:
Ho 0.0283 0.2329 0.7954  1 Ni 2.71, 1 Sn 3.02
Ho 0.1827 0.2926 0.4753  3 Ni 2.84-3.10, 1 Sn 3.17
Ho 0.1827 0.7074 0.8901  3 Ni 2.84-3.10, 1 Sn 3.17
Ho 0.3248 0.0160 0.6912  3 Ni 2.65-2.83
Ho 0.3248 0.6337 0.3088  3 Ni 2.65-2.83
Ho 0.4375 0.2329 0.2046  1 Ni 2.71, 1 Sn 3.02
Ho 0.5625 0.7671 0.7954  1 Ni 2.71, 1 Sn 3.02
Ho 0.6752 0.3663 0.6912  3 Ni 2.65-2.83
Ho 0.6752 0.9840 0.3088  3 Ni 2.65-2.83
Ho 0.8173 0.2926 0.1099  3 Ni 2.84-3.10, 1 Sn 3.17
Ho 0.8173 0.7074 0.5247  3 Ni 2.84-3.10, 1 Sn 3.17
Ho 0.9717 0.7671 0.2046  1 Ni 2.71, 1 Sn 3.02
Ni 0.1235 0.6235 0.5000  1 Ni 2.46, 2 Ho 2.65
Ni 0.3515 0.0000 0.3515  6 Ho 2.71-2.83, 1 Ni 2.82
Ni 0.6485 0.0000 0.6485  6 Ho 2.71-2.83, 1 Ni 2.82
Ni 0.8765 0.3765 0.5000  1 Ni 2.46, 2 Ho 2.65
Sn 0.0000 0.0000 0.0000  8 Ho 3.02-3.17, 2 Ni 3.34
Sn 0.5000 0.5000 0.0000  12 Ho 3.29-3.55

Properties
ΔE_f, eV per formula unit: -3.81

***

Density of states at the Fermi level for every record listed, in sequence, given in states/eV/f.u.: 6.3 0.0 6.9 4.7 4.3 1.8 23.0 5.0 6.0 1.7 2.9 2.7 6.5 3.3 3.0 2.4 7.8.